Entry 1:
Here is a geometry-optimized NpGeAuO6 structure from Alexandria. Energies are from PBE.

The calculation puts the formation energy without anion corrections at -1.505 eV/atom.

It has space group P-31c (No. 163), with a = 5.3257 Å, b = 5.3257 Å, c = 9.8216 Å, α = 90.00°, β = 90.00° and γ = 120.00°. The asymmetric unit holds Np at (0.3333, 0.6667, 0.2500), Ge at (0.3333, 0.6667, 0.7500), Au at (0.0000, 0.0000, 0.0000) and O at (0.0191, 0.3762, 0.6408).

=====

Entry 2:
Here is a geometry-optimized Cs12Rb3Au5 structure from Alexandria. Energies are from PBE.

Its formation energy is -0.09 eV/atom.

It has space group Ia-3d (No. 230), with a = 23.931 Å, b = 23.931 Å, c = 23.931 Å, α = 90.00°, β = 90.00° and γ = 90.00°. The asymmetric unit holds Cs at (0.042, 0.048, 0.640), Rb at (0.000, 0.250, 0.125), Au at (0.000, 0.000, 0.000) and Au at (0.000, 0.250, 0.375).

=====

Entry 3:
Here is a geometry-optimized MgSnBi2 structure from Alexandria. Energies are from PBE.

Its formation energy is 0.00 eV/atom.

It has space group I-42d (No. 122), with a = 6.810 Å, b = 6.810 Å, c = 13.473 Å, α = 90.00°, β = 90.00° and γ = 90.00°. The asymmetric unit holds Mg at (0.000, 0.000, 0.000), Sn at (0.000, 0.000, 0.500) and Bi at (0.245, 0.250, 0.125).

=====

Entry 4:
Here is a geometry-optimized Nd2SmN2 structure from Alexandria. Energies are from PBE.

The calculation puts the formation energy without anion corrections at -1.118 eV/atom. The value obtained for the energy above the lowest structure with this stoichiometry is 0.007 eV/atom.

It has space group R-3m (No. 166, hexagonal axes), with a = 3.6146 Å, b = 3.6146 Å, c = 27.9522 Å, α = 90.00°, β = 90.00° and γ = 120.00°. The asymmetric unit holds Nd at (0.0000, 0.0000, 0.2324), Sm at (0.0000, 0.0000, 0.0000) and N at (0.0000, 0.0000, 0.3876).

=====

Entry 5:
Here is a geometry-optimized Na2SnSb2 structure from Alexandria. Energies are from PBE.

The calculation puts the formation energy without anion corrections at -0.184 eV/atom. The value obtained for the energy above the lowest structure with this stoichiometry is 0.061 eV/atom.

It has space group P4/mbm (No. 127), with a = 9.142 Å, b = 9.142 Å, c = 3.269 Å, α = 90.00°, β = 90.00° and γ = 90.00°. The asymmetric unit holds Na at (0.119, 0.381, 0.000), Sn at (0.000, 0.000, 0.500) and Sb at (0.180, 0.680, 0.500).

=====

Entry 6:
Here is a geometry-optimized Ho2TmAlN structure from Alexandria. Energies are from PBE.

The calculation puts the formation energy without anion corrections at -0.940 eV/atom.

It has space group P4/mmm (No. 123), with a = 4.745 Å, b = 4.745 Å, c = 4.689 Å, α = 90.00°, β = 90.00° and γ = 90.00°. The asymmetric unit holds Ho at (0.000, 0.500, 0.000), Tm at (0.000, 0.000, 0.500), Al at (0.500, 0.500, 0.500) and N at (0.000, 0.000, 0.000).

=====

Entry 7:
Here is a geometry-optimized La2AgSe3 structure from Alexandria. Energies are from PBE.

The calculation puts the formation energy without anion corrections at -1.479 eV/atom.

It has space group Immm (No. 71), with a = 3.972 Å, b = 4.890 Å, c = 16.673 Å, α = 90.00°, β = 90.00° and γ = 90.00°. The asymmetric unit holds La at (0.000, 0.000, 0.142), Ag at (0.000, 0.000, 0.500), Se at (0.000, 0.000, 0.323) and Se at (0.000, 0.500, 0.500).

=====

Fermi-level density of states? In order: 11.9; 163.7; 0.2; 8.8; 2.5; 2.1; 3.7 states/eV/cell.
Ρ? In order: 8.295; 2.749; 5.963; 7.353; 4.963; 8.492; 6.384 Mg/m³.